VASP calculation (PBE) on a relaxed structure of MnGaGeSe2.

```
data_MnGaGeSe2
_chemical_formula_sum 'Mn2 Ga2 Ge2 Se4'
_cell_length_a 10.873
_cell_length_b 3.830
_cell_length_c 5.284
_cell_angle_alpha 90.00
_cell_angle_beta 108.40
_cell_angle_gamma 90.00
_space_group_name_H-M_alt 'C 1 m 1'
_space_group_IT_number 8
loop_
_space_group_symop_operation_xyz
'x,y,z'
'x,-y,z'
'x+1/2,y+1/2,z'
'x+1/2,-y+1/2,z'
loop_
_atom_site_label
_atom_site_type_symbol
_atom_site_fract_x
_atom_site_fract_y
_atom_site_fract_z
Mn1 Mn 0.000 0.000 0.000
Ga1 Ga 0.228 0.000 0.299
Ge1 Ge 0.078 0.500 0.787
Se1 Se 0.285 0.500 0.656
Se2 Se 0.454 0.000 0.268
```

Summary:
energy relative to the lowest polymorph listed for this composition: 0 meV/atom
uncorrected formation energy: -1.333 eV/f.u.
E: -0.185 hartree per atom
calculated volume: 20.88 Å³/atom
total magnetic moment: 5.6 Bohr magnetons per cell
DOS at the Fermi energy: 4.7 states/eV per cell